# 1
{
  "formula": "TiMnSe2",
  "functional": "GGA-PBEsol",
  "state": "relaxed",
  "crystal_system": "cubic",
  "spacegroup": "Fm-3m (225)",
  "magmom_total_mub_per_cell": 2.77,
  "formation_energy_uncorrected_mev_per_atom": -477,
  "final_energy_ev_per_atom": -6.923,
  "lattice": [[4.4686, 0.0000, 0.0000], [2.2343, 3.8699, 0.0000], [2.2343, 1.2900, 3.6486]],
  "species": ["Mn", "Se", "Se", "Ti"],
  "frac_coords": [[0.5000, 0.5000, 0.5000], [0.7500, 0.7500, 0.7500], [0.2500, 0.2500, 0.2500], [0.0000, 0.0000, 0.0000]]
}


# 2
{
  "formula": "Ti3MnSe",
  "functional": "GGA-PBEsol",
  "state": "relaxed",
  "crystal_system": "cubic",
  "spacegroup": "Pm-3m (221)",
  "magmom_total_mub_per_cell": 2.82,
  "formation_energy_uncorrected_mev_per_atom": 288,
  "final_energy_ev_per_atom": -7.427,
  "lattice": [[-0.4636, 4.5740, -0.0450], [-4.0095, -0.4281, -2.2090], [-2.2018, -0.1835, 4.0320]],
  "species": ["Ti", "Ti", "Mn", "Ti", "Se"],
  "frac_coords": [[0.0000, 0.5000, 0.0000], [0.5000, 0.0000, 0.0000], [0.5000, 0.5000, 0.5000], [0.0000, 0.0000, 0.5000], [0.0000, 0.0000, 0.0000]]
}


# 3
{
  "formula": "MnTlSe2",
  "functional": "GGA-PBEsol",
  "state": "relaxed",
  "crystal_system": "tetragonal",
  "spacegroup": "I-4m2 (119)",
  "magmom_total_mub_per_cell": 4.88,
  "formation_energy_uncorrected_mev_per_atom": 132,
  "final_energy_ev_per_atom": -4.891,
  "lattice": [[-0.9205, -0.3284, 3.7213], [3.1707, -2.0955, 0.5993], [2.2184, 6.6446, -0.8539]],
  "species": ["Se", "Se", "Mn", "Tl"],
  "frac_coords": [[0.0000, 0.0000, 0.0000], [0.7500, 0.2500, 0.5000], [0.2500, 0.7500, 0.5000], [0.5000, 0.5000, 0.0000]]
}


# 4
{
  "formula": "MnTl3Se",
  "functional": "GGA-PBEsol",
  "state": "relaxed",
  "crystal_system": "cubic",
  "spacegroup": "Pm-3m (221)",
  "magmom_total_mub_per_cell": 4.50,
  "formation_energy_uncorrected_mev_per_atom": 841,
  "final_energy_ev_per_atom": -3.460,
  "lattice": [[5.6170, 0.0000, 0.0000], [0.0000, 5.6170, 0.0000], [0.0000, 0.0000, 5.6170]],
  "species": ["Tl", "Se", "Tl", "Tl", "Mn"],
  "frac_coords": [[0.0000, 0.0000, 0.5000], [0.0000, 0.0000, 0.0000], [0.5000, 0.0000, 0.0000], [0.0000, 0.5000, 0.0000], [0.5000, 0.5000, 0.5000]]
}


# 5
{
  "formula": "MnTlSe2",
  "functional": "GGA-PBEsol",
  "state": "relaxed",
  "crystal_system": "tetragonal",
  "spacegroup": "P4/mmm (123)",
  "magmom_total_mub_per_cell": 3.22,
  "formation_energy_uncorrected_mev_per_atom": -90,
  "final_energy_ev_per_atom": -5.113,
  "lattice": [[3.1849, 0.0000, 0.0000], [0.0000, 3.1849, 0.0000], [0.0000, 0.0000, 8.0865]],
  "species": ["Mn", "Se", "Tl", "Se"],
  "frac_coords": [[0.5000, 0.5000, 0.5000], [0.0000, 0.0000, 0.3185], [0.5000, 0.5000, 0.0000], [0.0000, 0.0000, 0.6815]]
}


# 6
{
  "formula": "MnTlSe2",
  "functional": "GGA-PBEsol",
  "state": "relaxed",
  "crystal_system": "orthorhombic",
  "spacegroup": "Imm2 (44)",
  "magmom_total_mub_per_cell": 3.98,
  "formation_energy_uncorrected_mev_per_atom": -195,
  "final_energy_ev_per_atom": -5.218,
  "lattice": [[3.3386, 0.0000, 0.0000], [0.0000, 3.5754, 0.0000], [-1.6693, -1.7877, 7.6386]],
  "species": ["Mn", "Se", "Tl", "Se"],
  "frac_coords": [[0.3005, 0.8005, 0.6009], [0.9200, 0.9200, 0.8400], [0.5480, 0.5480, 0.0959], [0.7316, 0.2316, 0.4632]]
}


Please write out number 6 again, unchanged.
{
  "formula": "MnTlSe2",
  "functional": "GGA-PBEsol",
  "state": "relaxed",
  "crystal_system": "orthorhombic",
  "spacegroup": "Imm2 (44)",
  "magmom_total_mub_per_cell": 3.98,
  "formation_energy_uncorrected_mev_per_atom": -195,
  "final_energy_ev_per_atom": -5.218,
  "lattice": [[3.3386, 0.0000, 0.0000], [0.0000, 3.5754, 0.0000], [-1.6693, -1.7877, 7.6386]],
  "species": ["Mn", "Se", "Tl", "Se"],
  "frac_coords": [[0.3005, 0.8005, 0.6009], [0.9200, 0.9200, 0.8400], [0.5480, 0.5480, 0.0959], [0.7316, 0.2316, 0.4632]]
}


- Which formula does entry 4 have?
  MnTl3Se